11
Lattice="5.248 0.000 0.000 0.000 5.248 0.000 0.000 0.000 7.107" Properties=species:S:1:pos:R:3 comment="GGA-PBE PrB2Rh8, relaxed" density_g_cm3=8.36 sg="No. 123" crystal_system=tetragonal magnetic_moment_mub_per_atom=0.00 dos_ef_per_ev_fu=15.007 e_form_ev_per_atom=0.28 pbc="T T T"
Pr 0.000 0.000 0.000
B 0.000 2.624 3.553
B 2.624 0.000 3.553
Rh 1.338 1.338 2.264
Rh 1.338 1.338 4.843
Rh 1.338 3.909 2.264
Rh 1.338 3.909 4.843
Rh 3.909 1.338 2.264
Rh 3.909 1.338 4.843
Rh 3.909 3.909 2.264
Rh 3.909 3.909 4.843

---

13
Lattice="-2.502 4.187 3.887 2.502 -4.187 3.887 2.502 4.187 -3.887" Properties=species:S:1:pos:R:3 comment="GGA-PBE PrB5Rh7, relaxed" density_g_cm3=9.33 sg="No. 44" crystal_system=orthorhombic magnetic_moment_mub_per_atom=0.00 dos_ef_per_ev_fu=9.283 e_form_ev_per_atom=-0.15 pbc="T T T"
Pr 0.000 0.000 0.000
B 1.593 -1.972 1.838
B 3.410 -1.972 1.838
B 1.593 1.972 1.838
B 3.410 1.972 1.838
B 0.000 4.187 2.328
Rh 2.502 1.743 -0.381
Rh 2.502 0.000 2.088
Rh 0.000 0.000 2.613
Rh 0.000 2.826 0.730
Rh 0.000 0.000 5.166
Rh 0.000 2.444 3.506
Rh 0.000 5.548 0.730

---

3
Lattice="-1.518 1.518 5.298 1.518 -1.518 5.298 1.518 1.518 -5.298" Properties=species:S:1:pos:R:3 comment="GGA-PBE PrBRh, relaxed" e_above_lowest_polymorph_ev_per_atom=0.360 density_g_cm3=8.66 sg="No. 107" crystal_system=tetragonal magnetic_moment_mub_per_atom=0.00 dos_ef_per_ev_fu=2.845 e_form_ev_per_atom=-0.08 pbc="T T T"
Pr 0.000 0.000 0.000
B 0.000 0.000 7.464
Rh 0.000 0.000 2.911

---

6
Lattice="2.319 1.339 5.968 -2.319 1.339 5.968 0.000 -2.677 5.968" Properties=species:S:1:pos:R:3 comment="GGA-PBE PrBRh, relaxed" e_above_lowest_polymorph_ev_per_atom=0.335 density_g_cm3=7.61 sg="No. 166" crystal_system=trigonal magnetic_moment_mub_per_atom=0.00 dos_ef_per_ev_fu=2.402 e_form_ev_per_atom=-0.11 pbc="T T T"
Pr 0.000 0.000 1.860
Pr 0.000 0.000 16.044
B 0.000 0.000 4.764
B 0.000 0.000 13.140
Rh 0.000 0.000 6.702
Rh 0.000 0.000 11.203

---

3
Lattice="3.723 0.000 0.000 -1.862 3.224 0.000 0.000 0.000 4.461" Properties=species:S:1:pos:R:3 comment="GGA-PBE PrBRh, relaxed" e_above_lowest_polymorph_ev_per_atom=0.000 density_g_cm3=7.90 sg="No. 187" crystal_system=hexagonal magnetic_moment_mub_per_atom=0.00 dos_ef_per_ev_fu=2.489 e_form_ev_per_atom=-0.44 pbc="T T T"
Pr 0.000 0.000 0.000
B 0.000 2.150 2.230
Rh 1.862 1.075 2.230

---

6
Lattice="3.477 0.000 0.000 0.000 4.169 0.000 0.000 0.000 7.301" Properties=species:S:1:pos:R:3 comment="GGA-PBE PrBRh, relaxed" e_above_lowest_polymorph_ev_per_atom=0.117 density_g_cm3=7.99 sg="No. 51" crystal_system=orthorhombic magnetic_moment_mub_per_atom=0.00 dos_ef_per_ev_fu=1.203 e_form_ev_per_atom=-0.33 pbc="T T T"
Pr 0.869 0.000 1.690
Pr 2.608 0.000 5.610
B 0.869 2.084 6.904
B 2.608 2.084 0.396
Rh 0.869 2.084 4.650
Rh 2.608 2.084 2.650

---

13
Lattice="0.000 4.691 4.691 4.691 0.000 4.691 4.691 4.691 0.000" Properties=species:S:1:pos:R:3 comment="GGA-PBE PrB4Rh8, relaxed" density_g_cm3=8.10 sg="No. 216" crystal_system=cubic magnetic_moment_mub_per_atom=0.00 dos_ef_per_ev_fu=10.851 e_form_ev_per_atom=0.17 pbc="T T T"
Pr 0.000 0.000 0.000
B 5.805 3.576 3.576
B 3.576 5.805 3.576
B 3.576 3.576 5.805
B 5.805 5.805 5.805
Rh 3.677 3.677 3.677
Rh 5.704 5.704 3.677
Rh 5.704 3.677 5.704
Rh 7.953 6.119 6.119
Rh 3.677 5.704 5.704
Rh 6.119 7.953 6.119
Rh 6.119 6.119 7.953
Rh 7.953 7.953 7.953

---

19
Lattice="4.275 0.000 0.000 0.000 4.275 0.000 0.000 0.000 16.661" Properties=species:S:1:pos:R:3 comment="GGA-PBE Pr4B3Rh12, relaxed" density_g_cm3=9.99 sg="No. 123" crystal_system=tetragonal magnetic_moment_mub_per_atom=0.00 dos_ef_per_ev_fu=17.229 e_form_ev_per_atom=-0.60 pbc="T T T"
Pr 0.000 0.000 2.010
Pr 0.000 0.000 6.226
Pr 0.000 0.000 10.434
Pr 0.000 0.000 14.651
B 2.137 2.137 3.963
B 2.137 2.137 8.330
B 2.137 2.137 12.698
Rh 0.000 2.137 0.000
Rh 0.000 2.137 4.114
Rh 0.000 2.137 8.330
Rh 0.000 2.137 12.546
Rh 2.137 0.000 0.000
Rh 2.137 0.000 4.114
Rh 2.137 0.000 8.330
Rh 2.137 0.000 12.546
Rh 2.137 2.137 1.894
Rh 2.137 2.137 6.183
Rh 2.137 2.137 10.478
Rh 2.137 2.137 14.767

---

Repeat the fourth record exactly.
6
Lattice="2.319 1.339 5.968 -2.319 1.339 5.968 0.000 -2.677 5.968" Properties=species:S:1:pos:R:3 comment="GGA-PBE PrBRh, relaxed" e_above_lowest_polymorph_ev_per_atom=0.335 density_g_cm3=7.61 sg="No. 166" crystal_system=trigonal magnetic_moment_mub_per_atom=0.00 dos_ef_per_ev_fu=2.402 e_form_ev_per_atom=-0.11 pbc="T T T"
Pr 0.000 0.000 1.860
Pr 0.000 0.000 16.044
B 0.000 0.000 4.764
B 0.000 0.000 13.140
Rh 0.000 0.000 6.702
Rh 0.000 0.000 11.203